No. 1
## PaRe (PBE)

Data for crystalline PaRe at its relaxed geometry.

Cell and atoms, written as extended XYZ:
```
4
Lattice="3.1556 0.0000 0.0000 0.0000 3.8047 0.0000 0.0000 0.0000 6.4993" Properties=species:S:1:pos:R:3 pbc="T T T"
Pa 0.7889 0.9512 0.9624
Pa 2.3667 2.8535 5.5369
Re 0.7889 0.9512 3.9666
Re 2.3667 2.8535 2.5327
```

Results
Formation energy from the elements = 0.10 eV per atom
Total moment = 0.00 μB per atom
SG = No. 59
Calculated volume = 78 Å³/cell
DOS(E_F) = 1.18 states/eV/atom

---

No. 2
## PaRe3 (PBE)

Data for crystalline PaRe3 at its relaxed geometry.

Cell and atoms, written as extended XYZ:
```
4
Lattice="3.0071 0.0000 0.0000 0.0000 4.5023 0.0000 0.0000 0.0000 5.1054" Properties=species:S:1:pos:R:3 pbc="T T T"
Pa 0.0000 0.0000 0.0000
Re 0.0000 2.2511 3.2873
Re 1.5035 0.0000 2.5687
Re 1.5035 2.2511 0.8801
```

Results
Formation energy from the elements = 0.28 eV per atom
Excess energy over the best structure of this formula in the dataset = 1.24 eV/f.u.
Total moment = 0.00 μB per atom
SG = No. 25
Calculated volume = 69 Å³/cell
DOS(E_F) = 0.91 states/eV/atom

---

No. 3
## Pa3Re (PBE)

Data for crystalline Pa3Re at its relaxed geometry.

Cell and atoms, written as extended XYZ:
```
4
Lattice="3.1629 0.0000 0.0000 0.0000 5.1034 0.0000 0.0000 0.0000 5.4386" Properties=species:S:1:pos:R:3 pbc="T T T"
Pa 0.0000 0.0000 0.0000
Pa 0.0000 2.5517 1.2652
Pa 1.5814 2.5517 3.8645
Re 1.5814 0.0000 2.8335
```

Results
Formation energy from the elements = 0.16 eV per atom
Excess energy over the best structure of this formula in the dataset = 0.63 eV/f.u.
Total moment = 0.00 μB per atom
SG = No. 25
Calculated volume = 88 Å³/cell
DOS(E_F) = 1.54 states/eV/atom

---

No. 4
## Pa5Re (PBE)

Data for crystalline Pa5Re at its relaxed geometry.

Cell and atoms, written as extended XYZ:
```
6
Lattice="2.0707 -7.9341 0.0000 2.0707 7.9341 0.0000 0.0000 0.0000 4.1499" Properties=species:S:1:pos:R:3 pbc="T T T"
Pa 0.0000 0.0000 0.0000
Pa 2.0707 5.3194 2.0750
Pa 2.0707 2.6701 0.0000
Pa 2.0707 -2.6701 0.0000
Pa 2.0707 -5.3194 2.0750
Re 2.0707 0.0000 2.0750
```

Results
Formation energy from the elements = 0.12 eV per atom
Total moment = 0.00 μB per atom
SG = No. 65
Calculated volume = 136 Å³/cell
DOS(E_F) = 1.84 states/eV/atom

---

No. 5
## PaRe (PBE)

Data for crystalline PaRe at its relaxed geometry.

Cell and atoms, written as extended XYZ:
```
2
Lattice="3.4577 0.0000 0.0000 0.0000 3.4577 0.0000 0.0000 0.0000 3.4577" Properties=species:S:1:pos:R:3 pbc="T T T"
Pa 0.0000 0.0000 0.0000
Re 1.7289 1.7289 1.7289
```

Results
Formation energy from the elements = 0.03 eV per atom
Total moment = 0.00 μB per atom
SG = No. 221
Calculated volume = 41 Å³/cell
DOS(E_F) = 0.86 states/eV/atom

---

No. 6
## PaRe3 (PBE)

Data for crystalline PaRe3 at its relaxed geometry.

Cell and atoms, written as extended XYZ:
```
4
Lattice="4.1245 0.0000 0.0000 0.0000 4.1245 0.0000 0.0000 0.0000 4.1245" Properties=species:S:1:pos:R:3 pbc="T T T"
Pa 0.0000 0.0000 0.0000
Re 0.0000 2.0622 2.0622
Re 2.0622 0.0000 2.0622
Re 2.0622 2.0622 0.0000
```

Results
Formation energy from the elements = 0.36 eV per atom
Excess energy over the best structure of this formula in the dataset = 1.55 eV/f.u.
Total moment = 0.00 μB per atom
SG = No. 221
Calculated volume = 70 Å³/cell
DOS(E_F) = 2.51 states/eV/atom

---

No. 7
## PaRe3 (PBE)

Data for crystalline PaRe3 at its relaxed geometry.

Cell and atoms, written as extended XYZ:
```
24
Lattice="5.2353 0.0000 0.0000 -2.6177 4.5339 0.0000 0.0000 0.0000 18.5781" Properties=species:S:1:pos:R:3 pbc="T T T"
Pa 0.0000 3.0226 0.5648
Pa 0.0000 3.0226 4.6445
Pa 0.0000 3.0226 8.7243
Pa 2.6177 1.5113 9.8538
Pa 2.6177 1.5113 13.9335
Pa 2.6177 1.5113 18.0133
Re 0.0000 0.0000 0.0000
Re 0.0000 0.0000 4.6445
Re 0.0000 0.0000 9.2890
Re 0.0000 0.0000 13.9335
Re 0.0000 1.5236 11.6335
Re 0.0000 1.5236 16.2335
Re -1.2982 3.7721 11.6335
Re -1.2982 3.7721 16.2335
Re 0.0000 3.0226 13.9335
Re 1.3195 0.7618 2.3445
Re 1.3195 0.7618 6.9445
Re 1.2982 3.7721 11.6335
Re 1.2982 3.7721 16.2335
Re 2.6177 1.5113 4.6445
Re 3.9158 0.7618 2.3445
Re 3.9158 0.7618 6.9445
Re 2.6177 3.0103 2.3445
Re 2.6177 3.0103 6.9445
```

Results
Formation energy from the elements = -0.03 eV per atom
Excess energy over the best structure of this formula in the dataset = 0.00 eV/f.u.
Total moment = 0.00 μB per atom
SG = No. 194
Calculated volume = 441 Å³/cell
DOS(E_F) = 1.28 states/eV/atom

---

No. 8
## Pa3Re (PBE)

Data for crystalline Pa3Re at its relaxed geometry.

Cell and atoms, written as extended XYZ:
```
4
Lattice="0.0000 3.5321 3.5321 3.5321 0.0000 3.5321 3.5321 3.5321 0.0000" Properties=species:S:1:pos:R:3 pbc="T T T"
Pa 0.0000 0.0000 0.0000
Pa 1.7660 1.7660 1.7660
Pa 5.2981 5.2981 5.2981
Re 3.5321 3.5321 3.5321
```

Results
Formation energy from the elements = 0.18 eV per atom
Excess energy over the best structure of this formula in the dataset = 0.71 eV/f.u.
Total moment = 0.00 μB per atom
SG = No. 225
Calculated volume = 88 Å³/cell
DOS(E_F) = 3.34 states/eV/atom

---

No. 9
## Pa3Re (PBE)

Data for crystalline Pa3Re at its relaxed geometry.

Cell and atoms, written as extended XYZ:
```
8
Lattice="6.4268 0.0000 0.0000 0.0000 3.5986 0.0000 -1.3450 0.0000 8.1783" Properties=species:S:1:pos:R:3 pbc="T T T"
Pa -0.0044 0.8997 2.8245
Pa 0.1477 0.8997 7.7108
Pa 1.6623 2.6990 5.0638
Pa 3.4195 0.8997 3.1145
Pa 4.9341 2.6990 0.4675
Pa 5.0862 2.6990 5.3538
Re 1.8741 2.6990 1.6473
Re 3.2077 0.8997 6.5310
```

Results
Formation energy from the elements = 0.00 eV per atom
Excess energy over the best structure of this formula in the dataset = 0.00 eV/f.u.
Total moment = 0.00 μB per atom
SG = No. 11
Calculated volume = 189 Å³/cell
DOS(E_F) = 1.50 states/eV/atom

---

No. 10
## Pa3Re (PBE)

Data for crystalline Pa3Re at its relaxed geometry.

Cell and atoms, written as extended XYZ:
```
4
Lattice="-1.6529 5.0562 2.7553 1.6529 -5.0562 2.7553 1.6529 5.0562 -2.7553" Properties=species:S:1:pos:R:3 pbc="T T T"
Pa 0.0000 0.0000 0.0000
Pa 1.6529 2.9720 -0.6190
Pa 0.0000 2.0842 2.1363
Re 0.0000 5.0562 0.4440
```

Results
Formation energy from the elements = 0.07 eV per atom
Excess energy over the best structure of this formula in the dataset = 0.30 eV/f.u.
Total moment = 0.00 μB per atom
SG = No. 44
Calculated volume = 92 Å³/cell
DOS(E_F) = 1.79 states/eV/atom

---

No. 11
## Pa3Re (PBE)

Data for crystalline Pa3Re at its relaxed geometry.

Cell and atoms, written as extended XYZ:
```
8
Lattice="6.1992 0.0000 0.0000 -3.0996 5.3686 0.0000 0.0000 0.0000 5.4000" Properties=species:S:1:pos:R:3 pbc="T T T"
Pa 0.0000 1.8976 1.3500
Pa -1.4562 4.4199 1.3500
Pa 1.6433 0.9488 4.0500
Pa 1.4562 4.4199 1.3500
Pa 4.5558 0.9488 4.0500
Pa 3.0996 3.4711 4.0500
Re 0.0000 3.5791 4.0500
Re 3.0996 1.7895 1.3500
```

Results
Formation energy from the elements = 0.18 eV per atom
Excess energy over the best structure of this formula in the dataset = 0.71 eV/f.u.
Total moment = 0.00 μB per atom
SG = No. 194
Calculated volume = 180 Å³/cell
DOS(E_F) = 1.98 states/eV/atom

---

No. 12
## PaRe4 (PBE)

Data for crystalline PaRe4 at its relaxed geometry.

Cell and atoms, written as extended XYZ:
```
5
Lattice="4.7801 0.0000 0.0000 0.0000 4.7801 0.0000 0.0000 0.0000 4.7801" Properties=species:S:1:pos:R:3 pbc="T T T"
Pa 0.0000 0.0000 0.0000
Re 0.0000 0.0000 2.3901
Re 0.0000 2.3901 0.0000
Re 2.3901 0.0000 0.0000
Re 2.3901 2.3901 2.3901
```

Results
Formation energy from the elements = 2.86 eV per atom
Total moment = 0.32 μB per atom
SG = No. 221
Calculated volume = 109 Å³/cell
DOS(E_F) = 1.10 states/eV/atom

---

- Which of these has the lowest formation energy from the elements?
  number 7

---

Repeat the sixth record exactly.
## PaRe3 (PBE)

Data for crystalline PaRe3 at its relaxed geometry.

Cell and atoms, written as extended XYZ:
```
4
Lattice="4.1245 0.0000 0.0000 0.0000 4.1245 0.0000 0.0000 0.0000 4.1245" Properties=species:S:1:pos:R:3 pbc="T T T"
Pa 0.0000 0.0000 0.0000
Re 0.0000 2.0622 2.0622
Re 2.0622 0.0000 2.0622
Re 2.0622 2.0622 0.0000
```

Results
Formation energy from the elements = 0.36 eV per atom
Excess energy over the best structure of this formula in the dataset = 1.55 eV/f.u.
Total moment = 0.00 μB per atom
SG = No. 221
Calculated volume = 70 Å³/cell
DOS(E_F) = 2.51 states/eV/atom